Entry 1:
Here is crystalline LiBeP2Ir at its relaxed geometry from Alexandria. Energies are from PBE-GGA.

Cell: 4.663 4.663 4.283 Å, 90.00 90.00 90.00°
Space group P4/mmm (No. 123)
Asymmetric unit:
1 Li 0.000 0.000 0.000 (multiplicity 1)
2 Be 0.500 0.500 0.000 (multiplicity 1)
3 P 0.000 0.500 0.500 (multiplicity 2)
4 Ir 0.500 0.500 0.500 (multiplicity 1)

Output
Calculated total energy in eV/atom: -4.777
ΔE_f in eV/atom: 0.287
Density of states at the Fermi level in states/eV per cell: 4.07

---

Entry 2:
Here is crystalline LiBeIr2Pb at its relaxed geometry from Alexandria. Energies are from PBE-GGA.

Cell: 5.070 5.070 4.593 Å, 90.00 90.00 90.00°
Space group P4/mmm (No. 123)
Asymmetric unit:
1 Li 0.000 0.000 0.000 (multiplicity 1)
2 Be 0.500 0.500 0.000 (multiplicity 1)
3 Ir 0.000 0.500 0.500 (multiplicity 2)
4 Pb 0.500 0.500 0.500 (multiplicity 1)

Output
Calculated total energy in eV/atom: -3.835
ΔE_f in eV/atom: 1.579
Density of states at the Fermi level in states/eV per cell: 4.11

---

Entry 3:
Here is crystalline LiPr2BeIr2 at its relaxed geometry from Alexandria. Energies are from PBE-GGA.

Cell: 5.868 13.748 5.825 Å, 90.00 90.00 90.00°
Space group Ibam (No. 72)
Asymmetric unit:
1 Li 0.000 0.000 0.250 (multiplicity 4)
2 Pr 0.238 0.164 0.000 (multiplicity 8)
3 Be 0.000 0.500 0.250 (multiplicity 4)
4 Ir 0.214 0.394 0.000 (multiplicity 8)

Output
Calculated total energy in eV/atom: -5.940
ΔE_f in eV/atom: -0.453
Density of states at the Fermi level in states/eV per cell: 9.57

---

Entry 4:
Here is crystalline LiBeRe2Ir at its relaxed geometry from Alexandria. Energies are from PBE-GGA.

Cell: 4.792 4.792 4.293 Å, 90.00 90.00 90.00°
Space group P4/mmm (No. 123)
Asymmetric unit:
1 Li 0.000 0.000 0.000 (multiplicity 1)
2 Be 0.500 0.500 0.000 (multiplicity 1)
3 Re 0.000 0.500 0.500 (multiplicity 2)
4 Ir 0.500 0.500 0.500 (multiplicity 1)

Output
Calculated total energy in eV/atom: -6.406
ΔE_f in eV/atom: 1.474
Density of states at the Fermi level in states/eV per cell: 4.58

---

Entry 5:
Here is crystalline LiBeIrS2 at its relaxed geometry from Alexandria. Energies are from PBE-GGA.

Cell: 4.759 4.759 4.191 Å, 90.00 90.00 90.00°
Space group P4/mmm (No. 123)
Asymmetric unit:
1 Li 0.000 0.000 0.000 (multiplicity 1)
2 Be 0.500 0.500 0.000 (multiplicity 1)
3 Ir 0.500 0.500 0.500 (multiplicity 1)
4 S 0.000 0.500 0.500 (multiplicity 2)

Output
Calculated total energy in eV/atom: -4.442
Density of states at the Fermi level in states/eV per cell: 3.69

---

Entry 6:
Here is crystalline Li2ScBeIr at its relaxed geometry from Alexandria. Energies are from PBE-GGA.

Cell: 4.045 4.045 4.929 Å, 90.00 90.00 90.00°
Space group P4/mmm (No. 123)
Asymmetric unit:
1 Li 0.000 0.500 0.000 (multiplicity 2)
2 Sc 0.000 0.000 0.500 (multiplicity 1)
3 Be 0.000 0.000 0.000 (multiplicity 1)
4 Ir 0.500 0.500 0.500 (multiplicity 1)

Output
Calculated total energy in eV/atom: -4.034
ΔE_f in eV/atom: 0.515
Density of states at the Fermi level in states/eV per cell: 2.71

---

Entry 7:
Here is crystalline LiBeSiIr at its relaxed geometry from Alexandria. Energies are from PBE-GGA.

Cell: 5.710 5.710 5.710 Å, 90.00 90.00 90.00°
Space group F-43m (No. 216)
Asymmetric unit:
1 Li 0.000 0.000 0.000 (multiplicity 4)
2 Be 0.250 0.250 0.750 (multiplicity 4)
3 Si 0.250 0.250 0.250 (multiplicity 4)
4 Ir 0.000 0.000 0.500 (multiplicity 4)

Output
Calculated total energy in eV/atom: -5.489
Density of states at the Fermi level in states/eV per cell: 8.50

---

Entry 8:
Here is crystalline Li2TiBeIr at its relaxed geometry from Alexandria. Energies are from PBE-GGA.

Cell: 4.099 4.099 4.297 Å, 90.00 90.00 90.00°
Space group P4/mmm (No. 123)
Asymmetric unit:
1 Li 0.000 0.500 0.000 (multiplicity 2)
2 Ti 0.000 0.000 0.000 (multiplicity 1)
3 Be 0.000 0.000 0.500 (multiplicity 1)
4 Ir 0.500 0.500 0.500 (multiplicity 1)

Output
Calculated total energy in eV/atom: -3.359
ΔE_f in eV/atom: 1.503
Density of states at the Fermi level in states/eV per cell: 4.28

---

Entry 9:
Here is crystalline LiZrBeIr at its relaxed geometry from Alexandria. Energies are from PBE-GGA.

Cell: 6.187 6.187 6.187 Å, 90.00 90.00 90.00°
Space group F-43m (No. 216)
Asymmetric unit:
1 Li 0.000 0.000 0.000 (multiplicity 4)
2 Zr 0.250 0.250 0.250 (multiplicity 4)
3 Be 0.250 0.250 0.750 (multiplicity 4)
4 Ir 0.000 0.000 0.500 (multiplicity 4)

Output
Calculated total energy in eV/atom: -6.081
ΔE_f in eV/atom: -0.319
Density of states at the Fermi level in states/eV per cell: 16.97

---

Entry 10:
Here is crystalline Lu2BeIr at its relaxed geometry from Alexandria. Energies are from PBE-GGA.

Cell: 4.781 4.781 3.282 Å, 90.00 90.00 90.00°
Space group P4/mmm (No. 123)
Asymmetric unit:
1 Lu 0.000 0.500 0.000 (multiplicity 2)
2 Be 0.000 0.000 0.500 (multiplicity 1)
3 Ir 0.500 0.500 0.500 (multiplicity 1)

Output
Calculated total energy in eV/atom: -5.897
ΔE_f in eV/atom: -0.490
Density of states at the Fermi level in states/eV per cell: 2.07

---

Entry 11:
Here is crystalline Lu2BeIr at its relaxed geometry from Alexandria. Energies are from PBE-GGA.

Cell: 6.695 6.695 6.695 Å, 90.00 90.00 90.00°
Space group Fm-3m (No. 225)
Asymmetric unit:
1 Lu 0.250 0.250 0.250 (multiplicity 8)
2 Be 0.000 0.000 0.000 (multiplicity 4)
3 Ir 0.000 0.000 0.500 (multiplicity 4)

Output
Calculated total energy in eV/atom: -5.915
ΔE_f in eV/atom: -0.508
Density of states at the Fermi level in states/eV per cell: 10.79

---

Entry 12:
Here is crystalline LuBeIr at its relaxed geometry from Alexandria. Energies are from PBE-GGA.

Cell: 3.8914 3.8914 3.8767 Å, 90.00 90.00 120.00°
Space group P-6m2 (No. 187)
Asymmetric unit:
1 Lu 0.0000 0.0000 0.0000 (multiplicity 1)
2 Be 0.3333 0.6667 0.5000 (multiplicity 1)
3 Ir 0.6667 0.3333 0.5000 (multiplicity 1)

Output
Calculated total energy in eV/atom: -6.404
ΔE_f in eV/atom: -0.701
Density of states at the Fermi level in states/eV per cell: 1.18

---

Entry 13:
Here is crystalline LuBeIr2 at its relaxed geometry from Alexandria. Energies are from PBE-GGA.

Cell: 3.099 3.099 6.254 Å, 90.00 90.00 90.00°
Space group P4/mmm (No. 123)
Asymmetric unit:
1 Lu 0.000 0.000 0.000 (multiplicity 1)
2 Be 0.000 0.000 0.500 (multiplicity 1)
3 Ir 0.500 0.500 0.289 (multiplicity 2)

Output
Calculated total energy in eV/atom: -7.079
ΔE_f in eV/atom: -0.587
Density of states at the Fermi level in states/eV per cell: 1.39

---

Entry 14:
Here is crystalline LuScBeIr at its relaxed geometry from Alexandria. Energies are from PBE-GGA.

Cell: 6.566 6.566 6.566 Å, 90.00 90.00 90.00°
Space group F-43m (No. 216)
Asymmetric unit:
1 Lu 0.000 0.000 0.000 (multiplicity 4)
2 Sc 0.000 0.000 0.500 (multiplicity 4)
3 Be 0.250 0.250 0.750 (multiplicity 4)
4 Ir 0.250 0.250 0.250 (multiplicity 4)

Output
Calculated total energy in eV/atom: -6.381
ΔE_f in eV/atom: -0.521
Density of states at the Fermi level in states/eV per cell: 11.10

---

Entry 15:
Here is crystalline TmLuBeIr at its relaxed geometry from Alexandria. Energies are from PBE-GGA.

Cell: 6.723 6.723 6.723 Å, 90.00 90.00 90.00°
Space group F-43m (No. 216)
Asymmetric unit:
1 Tm 0.000 0.000 0.000 (multiplicity 4)
2 Lu 0.000 0.000 0.500 (multiplicity 4)
3 Be 0.250 0.250 0.750 (multiplicity 4)
4 Ir 0.250 0.250 0.250 (multiplicity 4)

Output
Calculated total energy in eV/atom: -5.887
ΔE_f in eV/atom: -0.492
Density of states at the Fermi level in states/eV per cell: 10.30

---

Entry 16:
Here is crystalline Mg2BeIr at its relaxed geometry from Alexandria. Energies are from PBE-GGA.

Cell: 3.226 4.139 8.573 Å, 90.00 90.00 90.00°
Space group Immm (No. 71)
Asymmetric unit:
1 Mg 0.000 0.000 0.241 (multiplicity 4)
2 Be 0.000 0.500 0.500 (multiplicity 2)
3 Ir 0.000 0.500 0.000 (multiplicity 2)

Output
Calculated total energy in eV/atom: -4.038
ΔE_f in eV/atom: -0.094
Density of states at the Fermi level in states/eV per cell: 1.15

---

Entry 17:
Here is crystalline MgBeIr at its relaxed geometry from Alexandria. Energies are from PBE-GGA.

Cell: 3.006 3.006 9.182 Å, 90.00 90.00 90.00°
Space group I4mm (No. 107)
Asymmetric unit:
1 Mg 0.000 0.000 0.000 (multiplicity 2)
2 Be 0.000 0.000 0.288 (multiplicity 2)
3 Ir 0.000 0.000 0.696 (multiplicity 2)

Output
Calculated total energy in eV/atom: -5.173
ΔE_f in eV/atom: -0.446
Density of states at the Fermi level in states/eV per cell: 1.81

---

Entry 18:
Here is crystalline MgBeIr2 at its relaxed geometry from Alexandria. Energies are from PBE-GGA.

Cell: 2.809 4.154 4.941 Å, 90.00 106.32 90.00°
Space group Pm (No. 6)
Asymmetric unit:
1 Mg 0.000 0.000 0.000 (multiplicity 1)
2 Be 0.610 0.500 0.224 (multiplicity 1)
3 Ir 0.347 0.500 0.698 (multiplicity 1)
4 Ir 0.730 0.000 0.465 (multiplicity 1)

Output
Calculated total energy in eV/atom: -5.923
ΔE_f in eV/atom: -0.162
Density of states at the Fermi level in states/eV per cell: 3.58

---

Entry 19:
Here is crystalline MgBeIr2 at its relaxed geometry from Alexandria. Energies are from PBE-GGA.

Cell: 9.373 2.870 4.598 Å, 90.00 119.00 90.00°
Space group C2/m (No. 12)
Asymmetric unit:
1 Mg 0.000 0.000 0.000 (multiplicity 2)
2 Be 0.000 0.500 0.500 (multiplicity 2)
3 Ir 0.219 0.000 0.719 (multiplicity 4)

Output
Calculated total energy in eV/atom: -6.089
ΔE_f in eV/atom: -0.329
Density of states at the Fermi level in states/eV per cell: 2.90

---

Entry 20:
Here is crystalline MgBeIr2 at its relaxed geometry from Alexandria. Energies are from PBE-GGA.

Cell: 2.904 4.183 8.883 Å, 90.00 90.00 90.00°
Space group Imm2 (No. 44)
Asymmetric unit:
1 Mg 0.000 0.000 0.000 (multiplicity 2)
2 Be 0.000 0.500 0.762 (multiplicity 2)
3 Ir 0.000 0.000 0.476 (multiplicity 2)
4 Ir 0.000 0.500 0.229 (multiplicity 2)

Output
Calculated total energy in eV/atom: -5.962
ΔE_f in eV/atom: -0.201
Density of states at the Fermi level in states/eV per cell: 5.17